w | Material: LaEr2Th
Method: DFT, PBE
State: optimized geometry

Unit cell a=11.494 b=3.612 c=6.232 alpha=90.00 beta=90.01 gamma=90.00
Fractional positions:
La  0.000  0.247  0.250
La  0.000  0.753  0.750
Er  0.258  0.251  0.584
Er  0.258  0.749  0.084
Er  0.742  0.251  0.916
Er  0.742  0.749  0.416
Th  0.500  0.250  0.250
Th  0.500  0.750  0.750

Summary:
D(E_F) = 12.340 states/eV per cell
SG = P2/c

x | Material: LaEr2Th
Method: DFT, PBE
State: optimized geometry

Unit cell a=13.376 b=13.376 c=5.659 alpha=90.00 beta=90.00 gamma=164.94
Fractional positions:
La  0.154  0.846  0.750
La  0.846  0.154  0.250
Er  0.226  0.774  0.250
Er  0.406  0.594  0.750
Er  0.594  0.406  0.250
Er  0.774  0.226  0.750
Th  0.030  0.970  0.750
Th  0.970  0.030  0.250

Summary:
D(E_F) = 12.495 states/eV per cell
SG = Cmcm

y | Material: LaEr2Th
Method: DFT, PBE
State: optimized geometry

Unit cell a=12.533 b=12.533 c=12.533 alpha=16.08 beta=16.08 gamma=16.08
Fractional positions:
La  0.000  0.000  0.000
Er  0.092  0.092  0.092
Er  0.908  0.908  0.908
Th  0.500  0.500  0.500

Summary:
D(E_F) = 6.937 states/eV per cell
SG = R-3m

Energies relative to the minimum, eV/atom: w 0.000; x 0.074; y 0.119

w | Material: La3ErTh2
Method: DFT, PBE
State: optimized geometry

Unit cell a=10.309 b=3.632 c=10.878 alpha=90.00 beta=90.34 gamma=90.00
Fractional positions:
La  0.123  0.250  0.249
La  0.143  0.250  0.917
La  0.365  0.750  0.414
La  0.635  0.250  0.586
La  0.857  0.750  0.083
La  0.877  0.750  0.751
Er  0.375  0.750  0.748
Er  0.625  0.250  0.252
Th  0.120  0.250  0.581
Th  0.388  0.750  0.082
Th  0.612  0.250  0.918
Th  0.880  0.750  0.419

Summary:
D(E_F) = 19.268 states/eV per cell
SG = P2_1/m

x | Material: La3ErTh2
Method: DFT, PBE
State: optimized geometry

Unit cell a=11.167 b=11.900 c=3.492 alpha=90.00 beta=90.00 gamma=90.00
Fractional positions:
La  0.000  0.000  0.000
La  0.239  0.088  0.500
La  0.261  0.588  0.000
La  0.500  0.500  0.500
La  0.739  0.412  0.000
La  0.761  0.912  0.500
Er  0.000  0.500  0.500
Er  0.500  0.000  0.000
Th  0.099  0.777  0.500
Th  0.401  0.277  0.000
Th  0.599  0.723  0.000
Th  0.901  0.223  0.500

Summary:
D(E_F) = 18.154 states/eV per cell
SG = Pnnm

Energies relative to the minimum, eV/atom: w 0.000; x 0.540

w | Material: La12Er7Th
Method: DFT, PBE
State: optimized geometry

Unit cell a=11.522 b=11.522 c=11.522 alpha=116.67 beta=116.67 gamma=116.67
Fractional positions:
La  0.002  0.408  0.595
La  0.075  0.076  0.431
La  0.076  0.431  0.075
La  0.405  0.998  0.592
La  0.408  0.595  0.002
La  0.431  0.075  0.076
La  0.569  0.925  0.924
La  0.592  0.405  0.998
La  0.595  0.002  0.408
La  0.924  0.569  0.925
La  0.925  0.924  0.569
La  0.998  0.592  0.405
Er  0.000  0.000  0.000
Er  0.130  0.380  0.379
Er  0.379  0.130  0.380
Er  0.380  0.379  0.130
Er  0.620  0.621  0.870
Er  0.621  0.870  0.620
Er  0.870  0.620  0.621
Th  0.500  0.500  0.500

Summary:
D(E_F) = 28.281 states/eV per cell
SG = R-3

x | Material: La12Er7Th
Method: DFT, PBE
State: optimized geometry

Unit cell a=8.832 b=8.832 c=8.832 alpha=90.01 beta=90.01 gamma=90.01
Fractional positions:
La  0.015  0.887  0.355
La  0.113  0.645  0.985
La  0.221  0.360  0.767
La  0.233  0.779  0.640
La  0.355  0.015  0.887
La  0.360  0.767  0.221
La  0.640  0.233  0.779
La  0.645  0.985  0.113
La  0.767  0.221  0.360
La  0.779  0.640  0.233
La  0.887  0.355  0.015
La  0.985  0.113  0.645
Er  0.000  0.000  0.000
Er  0.128  0.441  0.358
Er  0.358  0.128  0.441
Er  0.441  0.358  0.128
Er  0.559  0.642  0.872
Er  0.642  0.872  0.559
Er  0.872  0.559  0.642
Th  0.500  0.500  0.500

Summary:
D(E_F) = 35.202 states/eV per cell
SG = R-3

Energies relative to the minimum, eV/atom: w 0.045; x 0.000

w | Material: La4Er2Th
Method: DFT, PBE
State: optimized geometry

Unit cell a=11.922 b=11.922 c=7.329 alpha=90.00 beta=90.00 gamma=103.09
Fractional positions:
La  0.008  0.746  0.499
La  0.010  0.746  0.999
La  0.246  0.508  0.001
La  0.246  0.510  0.501
La  0.254  0.990  0.501
La  0.254  0.992  0.001
La  0.490  0.754  0.999
La  0.492  0.754  0.499
La  0.508  0.246  0.501
La  0.510  0.246  0.001
La  0.746  0.008  0.999
La  0.746  0.010  0.499
La  0.754  0.490  0.499
La  0.754  0.492  0.999
La  0.990  0.254  0.001
La  0.992  0.254  0.501
Er  0.000  0.000  0.250
Er  0.000  0.000  0.750
Er  0.000  0.500  0.250
Er  0.000  0.500  0.750
Er  0.500  0.000  0.250
Er  0.500  0.000  0.750
Er  0.500  0.500  0.250
Er  0.500  0.500  0.750
Th  0.250  0.250  0.251
Th  0.250  0.250  0.751
Th  0.750  0.750  0.249
Th  0.750  0.750  0.749

Summary:
D(E_F) = 43.134 states/eV per cell
SG = Ccce

x | Material: La4Er2Th
Method: DFT, PBE
State: optimized geometry

Unit cell a=21.866 b=21.866 c=21.866 alpha=9.42 beta=9.42 gamma=9.42
Fractional positions:
La  0.141  0.141  0.141
La  0.289  0.289  0.289
La  0.711  0.711  0.711
La  0.859  0.859  0.859
Er  0.236  0.236  0.236
Er  0.764  0.764  0.764
Th  0.000  0.000  0.000

Summary:
D(E_F) = 9.413 states/eV per cell
SG = R-3m

Energies relative to the minimum, eV/atom: w 0.086; x 0.000

w | Material: La2Er4Th
Method: DFT, PBE
State: optimized geometry

Unit cell a=9.493 b=9.493 c=9.493 alpha=145.10 beta=145.10 gamma=50.18
Fractional positions:
La  0.120  0.120  0.000
La  0.880  0.880  0.000
Er  0.000  0.500  0.500
Er  0.323  0.323  0.000
Er  0.500  0.000  0.500
Er  0.677  0.677  0.000
Th  0.500  0.500  0.000

Summary:
D(E_F) = 8.878 states/eV per cell
SG = I4/mmm

x | Material: La2Er4Th
Method: DFT, PBE
State: optimized geometry

Unit cell a=3.606 b=3.606 c=20.427 alpha=95.08 beta=95.08 gamma=59.86
Fractional positions:
La  0.000  0.000  0.000
La  0.092  0.092  0.289
Er  0.192  0.192  0.573
Er  0.283  0.283  0.855
Er  0.716  0.716  0.143
Er  0.815  0.815  0.437
Th  0.910  0.910  0.714

Summary:
D(E_F) = 12.208 states/eV per cell
SG = Cm

Energies relative to the minimum, eV/atom: w 0.692; x 0.000

w | Material: La3ErTl2
Method: DFT, PBE
State: optimized geometry

Unit cell a=9.843 b=9.843 c=9.843 alpha=139.28 beta=58.74 gamma=139.56
Fractional positions:
La  0.177  0.250  0.427
La  0.250  0.250  0.000
La  0.323  0.750  0.073
La  0.677  0.250  0.927
La  0.750  0.750  0.000
La  0.823  0.750  0.573
Er  0.250  0.750  0.500
Er  0.750  0.250  0.500
Tl  0.133  0.738  0.870
Tl  0.367  0.238  0.605
Tl  0.633  0.762  0.395
Tl  0.867  0.262  0.130

Summary:
D(E_F) = 15.600 states/eV per cell
SG = Ibam

x | Material: La3ErTl2
Method: DFT, PBE
State: optimized geometry

Unit cell a=5.225 b=10.572 c=6.894 alpha=90.00 beta=90.00 gamma=90.00
Fractional positions:
La  0.000  0.050  0.000
La  0.000  0.316  0.405
La  0.000  0.684  0.905
La  0.000  0.950  0.500
La  0.500  0.187  0.785
La  0.500  0.813  0.285
Er  0.500  0.462  0.138
Er  0.500  0.538  0.638
Tl  0.000  0.376  0.887
Tl  0.000  0.624  0.387
Tl  0.500  0.138  0.290
Tl  0.500  0.862  0.790

Summary:
D(E_F) = 14.310 states/eV per cell
SG = Pmc2_1

Energies relative to the minimum, eV/atom: w 0.026; x 0.000